Entry w
DFT (PBE) results for crystalline ScZnGaFe at its relaxed geometry.

POSCAR file:
```
ScZnGaFe
1.0
0.000 3.142 3.142
3.142 0.000 3.142
3.142 3.142 0.000
Sc Zn Ga Fe
1 1 1 1
Direct
0.000 0.000 0.000
0.500 0.500 0.500
0.250 0.250 0.250
0.750 0.750 0.750
```

Summary:
Size of the total moment: 0.43 μB/atom



Entry x
DFT (PBE) results for crystalline ScZnGaFe at its relaxed geometry.

POSCAR file:
```
ScZnGaFe
1.0
0.000 3.124 3.124
3.124 0.000 3.124
3.124 3.124 0.000
Sc Zn Ga Fe
1 1 1 1
Direct
0.000 0.000 0.000
0.250 0.250 0.250
0.750 0.750 0.750
0.500 0.500 0.500
```

Summary:
Size of the total moment: 0.48 μB/atom



Entry y
DFT (PBE) results for crystalline ScZnGaFe at its relaxed geometry.

POSCAR file:
```
ScZnGaFe
1.0
0.000 3.088 3.088
3.088 0.000 3.088
3.088 3.088 0.000
Sc Zn Ga Fe
1 1 1 1
Direct
0.000 0.000 0.000
0.250 0.250 0.250
0.500 0.500 0.500
0.750 0.750 0.750
```

Summary:
Size of the total moment: 0.35 μB/atom



Last place for stability: entry w



Entry w
DFT (PBE) results for crystalline NdGdFe2Ge4 at its relaxed geometry.

POSCAR file:
```
NdGdFe2Ge4
1.0
4.388 0.000 0.000
0.000 4.237 0.000
-2.024 0.000 7.945
Nd Gd Fe Ge
1 1 2 4
Direct
0.000 0.000 0.000
0.751 0.500 0.580
0.259 0.000 0.401
0.494 0.500 0.181
0.060 0.500 0.291
0.308 0.000 0.689
0.443 0.500 0.891
0.691 0.000 0.291
```

Summary:
Size of the total moment: 0.00 μB/atom



Entry x
DFT (PBE) results for crystalline NdGdFe2Ge4 at its relaxed geometry.

POSCAR file:
```
NdGdFe2Ge4
1.0
4.227 0.000 0.000
0.000 2.114 8.360
0.000 -2.114 8.360
Nd Gd Fe Ge
1 1 2 4
Direct
0.000 0.000 0.000
0.500 0.783 0.783
0.000 0.210 0.210
0.500 0.574 0.574
0.000 0.346 0.346
0.000 0.643 0.643
0.500 0.143 0.143
0.500 0.437 0.437
```

Summary:
Size of the total moment: 0.21 μB/atom



Last place for stability: entry x



Entry w
DFT (PBE) results for crystalline PrGdFe2Ge4 at its relaxed geometry.

POSCAR file:
```
PrGdFe2Ge4
1.0
4.261 0.000 0.000
0.000 2.138 8.292
0.000 -2.138 8.292
Pr Gd Fe Ge
1 1 2 4
Direct
0.000 0.000 0.000
0.500 0.216 0.216
0.000 0.791 0.791
0.500 0.422 0.422
0.000 0.356 0.356
0.000 0.654 0.654
0.500 0.562 0.562
0.500 0.855 0.855
```

Summary:
Size of the total moment: 0.25 μB/atom



Entry x
DFT (PBE) results for crystalline PrGdFe2Ge4 at its relaxed geometry.

POSCAR file:
```
PrGdFe2Ge4
1.0
4.389 0.000 0.000
0.000 4.238 0.000
-2.027 0.000 7.949
Pr Gd Fe Ge
1 1 2 4
Direct
0.000 0.000 0.000
0.751 0.500 0.580
0.259 0.000 0.401
0.495 0.500 0.181
0.061 0.500 0.292
0.309 0.000 0.689
0.444 0.500 0.891
0.692 0.000 0.292
```

Summary:
Size of the total moment: 0.00 μB/atom



Last place for stability: entry w



Entry w
DFT (PBE) results for crystalline Gd3Ho3FeTe2 at its relaxed geometry.

POSCAR file:
```
Gd3Ho3FeTe2
1.0
8.326 0.000 0.000
-4.163 7.210 0.000
0.000 0.000 3.996
Gd Ho Fe Te
3 3 1 2
Direct
0.000 0.601 0.000
0.399 0.399 0.000
0.601 0.000 0.000
0.000 0.234 0.500
0.234 0.000 0.500
0.766 0.766 0.500
0.000 0.000 0.000
0.333 0.667 0.500
0.667 0.333 0.500
```

Summary:
Size of the total moment: 0.01 μB/atom



Entry x
DFT (PBE) results for crystalline Gd3Ho3FeTe2 at its relaxed geometry.

POSCAR file:
```
Gd3Ho3FeTe2
1.0
8.365 0.000 0.000
-4.182 7.244 0.000
0.000 0.000 3.926
Gd Ho Fe Te
3 3 1 2
Direct
0.000 0.236 0.000
0.236 0.000 0.000
0.764 0.764 0.000
0.000 0.602 0.500
0.398 0.398 0.500
0.602 0.000 0.500
0.000 0.000 0.500
0.333 0.667 0.000
0.667 0.333 0.000
```

Summary:
Size of the total moment: 0.03 μB/atom



Last place for stability: entry x